Record 1
Computed, not measured: a relaxed structure of Tb5Tm4Th2 at the PBE level of DFT.

The structure in CIF format:
```
data_Tb5Tm4Th2
_chemical_formula_sum 'Tb5 Tm4 Th2'
_symmetry_space_group_name_H-M 'P 1'
_symmetry_Int_Tables_number 1
_cell_length_a 3.4040
_cell_length_b 9.1723
_cell_length_c 13.1448
_cell_angle_alpha 110.42
_cell_angle_beta 97.44
_cell_angle_gamma 90.00
loop_
_symmetry_equiv_pos_as_xyz
'x,y,z'
loop_
_atom_site_label
_atom_site_fract_x
_atom_site_fract_y
_atom_site_fract_z
_atom_site_occupancy
Tb1 0.8429 0.1642 0.6858 1
Tb2 0.8429 0.5216 0.6858 1
Tb3 0.1571 0.4784 0.3142 1
Tb4 0.1571 0.8358 0.3142 1
Tb5 0.5000 0.0000 0.0000 1
Tm1 0.0000 0.3163 0.0000 1
Tm2 0.7598 0.7598 0.5196 1
Tm3 0.0000 0.6837 0.0000 1
Tm4 0.2402 0.2402 0.4804 1
Th1 0.8921 0.8921 0.7841 1
Th2 0.1079 0.1079 0.2159 1
```

Spin magnetization (μB per formula unit): 0.00
Offset from the most stable computed form (kJ/mol of formula units): 410
Calculated volume (A^3/atom): 34.6
Space group: Immm (71)
Density (g cm⁻³): 8.43
E_form (eV/atom): 0.519

=====

Record 2
Computed, not measured: a relaxed structure of Tb6Tm3Th at the PBE level of DFT.

The structure in CIF format:
```
data_Tb6Tm3Th
_chemical_formula_sum 'Tb6 Tm3 Th1'
_symmetry_space_group_name_H-M 'P 1'
_symmetry_Int_Tables_number 1
_cell_length_a 9.7604
_cell_length_b 9.7604
_cell_length_c 6.8852
_cell_angle_alpha 44.86
_cell_angle_beta 44.86
_cell_angle_gamma 60.00
loop_
_symmetry_equiv_pos_as_xyz
'x,y,z'
loop_
_atom_site_label
_atom_site_fract_x
_atom_site_fract_y
_atom_site_fract_z
_atom_site_occupancy
Tb1 0.9003 0.5667 0.2996 1
Tb2 0.2334 0.9003 0.2996 1
Tb3 0.5667 0.2334 0.2996 1
Tb4 0.0640 0.4004 0.7995 1
Tb5 0.7361 0.0640 0.7995 1
Tb6 0.4004 0.7361 0.7995 1
Tm1 0.3998 0.3998 0.8007 1
Tm2 0.6419 0.6419 0.0743 1
Tm3 0.1575 0.1575 0.5276 1
Th1 0.9000 0.9000 0.3000 1
```

Spin magnetization (μB per formula unit): 0.00
Offset from the most stable computed form (kJ/mol of formula units): 107
Calculated volume (A^3/atom): 32.6
Space group: R32 (155)
Density (g cm⁻³): 8.61
E_form (eV/atom): 0.281

=====

Record 3
Computed, not measured: a relaxed structure of TbTm4Th at the PBE level of DFT.

The structure in CIF format:
```
data_TbTm4Th
_chemical_formula_sum 'Tb2 Tm8 Th2'
_symmetry_space_group_name_H-M 'P 1'
_symmetry_Int_Tables_number 1
_cell_length_a 6.5670
_cell_length_b 8.8973
_cell_length_c 8.3980
_cell_angle_alpha 111.99
_cell_angle_beta 100.40
_cell_angle_gamma 113.41
loop_
_symmetry_equiv_pos_as_xyz
'x,y,z'
loop_
_atom_site_label
_atom_site_fract_x
_atom_site_fract_y
_atom_site_fract_z
_atom_site_occupancy
Tb1 0.3380 0.5880 0.1759 1
Tb2 0.6620 0.4120 0.8241 1
Tm1 0.0460 0.1682 0.7408 1
Tm2 0.7471 0.7136 0.6124 1
Tm3 0.1948 0.5727 0.7408 1
Tm4 0.3654 0.8988 0.6124 1
Tm5 0.6346 0.1012 0.3876 1
Tm6 0.8052 0.4273 0.2592 1
Tm7 0.2529 0.2864 0.3876 1
Tm8 0.9540 0.8318 0.2592 1
Th1 0.2499 0.9999 0.9997 1
Th2 0.7501 0.0001 0.0003 1
```

Spin magnetization (μB per formula unit): 0.00
Offset from the most stable computed form (kJ/mol of formula units): 82
Calculated volume (A^3/atom): 32.1
Space group: C2/c (15)
Density (g cm⁻³): 9.20
E_form (eV/atom): 0.164

=====

Record 4
Computed, not measured: a relaxed structure of Tb15Tm2Th2 at the PBE level of DFT.

The structure in CIF format:
```
data_Tb15Tm2Th2
_chemical_formula_sum 'Tb15 Tm2 Th2'
_symmetry_space_group_name_H-M 'P 1'
_symmetry_Int_Tables_number 1
_cell_length_a 8.7428
_cell_length_b 8.7428
_cell_length_c 8.7428
_cell_angle_alpha 78.41
_cell_angle_beta 78.41
_cell_angle_gamma 78.41
loop_
_symmetry_equiv_pos_as_xyz
'x,y,z'
loop_
_atom_site_label
_atom_site_fract_x
_atom_site_fract_y
_atom_site_fract_z
_atom_site_occupancy
Tb1 0.0000 0.0000 0.5000 1
Tb2 0.5000 0.0000 0.0000 1
Tb3 0.0000 0.5000 0.0000 1
Tb4 0.3005 0.6995 0.0000 1
Tb5 0.0000 0.3005 0.6995 1
Tb6 0.6995 0.0000 0.3005 1
Tb7 0.0000 0.6995 0.3005 1
Tb8 0.3005 0.0000 0.6995 1
Tb9 0.6995 0.3005 0.0000 1
Tb10 0.6267 0.6267 0.1491 1
Tb11 0.1491 0.6267 0.6267 1
Tb12 0.6267 0.1491 0.6267 1
Tb13 0.3733 0.3733 0.8509 1
Tb14 0.8509 0.3733 0.3733 1
Tb15 0.3733 0.8509 0.3733 1
Tm1 0.3136 0.3136 0.3136 1
Tm2 0.6864 0.6864 0.6864 1
Th1 0.0872 0.0872 0.0872 1
Th2 0.9128 0.9128 0.9128 1
```

Spin magnetization (μB per formula unit): 0.00
Calculated volume (A^3/atom): 33.3
Space group: R-3m (166)
Density (g cm⁻³): 8.37
E_form (eV/atom): 0.307

=====

Record 5
Computed, not measured: a relaxed structure of Tb5Tm4Th at the PBE level of DFT.

The structure in CIF format:
```
data_Tb5Tm4Th
_chemical_formula_sum 'Tb5 Tm4 Th1'
_symmetry_space_group_name_H-M 'P 1'
_symmetry_Int_Tables_number 1
_cell_length_a 6.3551
_cell_length_b 7.8167
_cell_length_c 7.8167
_cell_angle_alpha 80.49
_cell_angle_beta 66.01
_cell_angle_gamma 66.01
loop_
_symmetry_equiv_pos_as_xyz
'x,y,z'
loop_
_atom_site_label
_atom_site_fract_x
_atom_site_fract_y
_atom_site_fract_z
_atom_site_occupancy
Tb1 0.8073 0.3781 0.9080 1
Tb2 0.1854 0.9080 0.6219 1
Tb3 0.7153 0.0920 0.3781 1
Tb4 0.0934 0.6219 0.0920 1
Tb5 0.6899 0.0000 0.0000 1
Tm1 0.3974 0.3976 0.7045 1
Tm2 0.7950 0.7045 0.6024 1
Tm3 0.1019 0.2955 0.3976 1
Tm4 0.4995 0.6024 0.2955 1
Th1 0.2251 0.0000 0.0000 1
```

Spin magnetization (μB per formula unit): 0.00
Offset from the most stable computed form (kJ/mol of formula units): 134
Calculated volume (A^3/atom): 32.4
Space group: I4 (79)
Density (g cm⁻³): 8.72
E_form (eV/atom): 0.331

=====

Record 6
Computed, not measured: a relaxed structure of TbTm10Th4 at the PBE level of DFT.

The structure in CIF format:
```
data_TbTm10Th4
_chemical_formula_sum 'Tb1 Tm10 Th4'
_symmetry_space_group_name_H-M 'P 1'
_symmetry_Int_Tables_number 1
_cell_length_a 7.7165
_cell_length_b 8.8052
_cell_length_c 8.8052
_cell_angle_alpha 78.93
_cell_angle_beta 64.01
_cell_angle_gamma 64.01
loop_
_symmetry_equiv_pos_as_xyz
'x,y,z'
loop_
_atom_site_label
_atom_site_fract_x
_atom_site_fract_y
_atom_site_fract_z
_atom_site_occupancy
Tb1 0.0000 0.0000 0.0000 1
Tm1 0.2500 0.5000 0.5000 1
Tm2 0.7076 0.2089 0.7913 1
Tm3 0.0835 0.2087 0.2089 1
Tm4 0.5011 0.7913 0.7911 1
Tm5 0.7078 0.7911 0.2087 1
Tm6 0.2924 0.7911 0.2087 1
Tm7 0.7500 0.5000 0.5000 1
Tm8 0.2922 0.2089 0.7913 1
Tm9 0.4989 0.2087 0.2089 1
Tm10 0.9165 0.7913 0.7911 1
Th1 0.2278 0.0004 0.5439 1
Th2 0.7718 0.4561 0.0004 1
Th3 0.2282 0.5439 0.9996 1
Th4 0.7722 0.9996 0.4561 1
```

Spin magnetization (μB per formula unit): 0.00
Calculated volume (A^3/atom): 32.2
Space group: I4/mmm (139)
Density (g cm⁻³): 9.54
E_form (eV/atom): 0.301

=====

Record 7
Computed, not measured: a relaxed structure of TbTm12Th6 at the PBE level of DFT.

The structure in CIF format:
```
data_TbTm12Th6
_chemical_formula_sum 'Tb1 Tm12 Th6'
_symmetry_space_group_name_H-M 'P 1'
_symmetry_Int_Tables_number 1
_cell_length_a 9.2726
_cell_length_b 9.2726
_cell_length_c 9.2726
_cell_angle_alpha 107.58
_cell_angle_beta 107.58
_cell_angle_gamma 107.58
loop_
_symmetry_equiv_pos_as_xyz
'x,y,z'
loop_
_atom_site_label
_atom_site_fract_x
_atom_site_fract_y
_atom_site_fract_z
_atom_site_occupancy
Tb1 0.0000 0.0000 0.0000 1
Tm1 0.8883 0.1117 0.5000 1
Tm2 0.3191 0.0830 0.3191 1
Tm3 0.3191 0.3191 0.0830 1
Tm4 0.9170 0.6809 0.6809 1
Tm5 0.6809 0.6809 0.9170 1
Tm6 0.6809 0.9170 0.6809 1
Tm7 0.5000 0.8883 0.1117 1
Tm8 0.1117 0.5000 0.8883 1
Tm9 0.1117 0.8883 0.5000 1
Tm10 0.5000 0.1117 0.8883 1
Tm11 0.8883 0.5000 0.1117 1
Tm12 0.0830 0.3191 0.3191 1
Th1 0.6682 0.2916 0.6682 1
Th2 0.6682 0.6682 0.2916 1
Th3 0.2916 0.6682 0.6682 1
Th4 0.3318 0.3318 0.7084 1
Th5 0.3318 0.7084 0.3318 1
Th6 0.7084 0.3318 0.3318 1
```

Spin magnetization (μB per formula unit): 0.00
Calculated volume (A^3/atom): 34.4
Space group: R-3m (166)
Density (g cm⁻³): 9.10
E_form (eV/atom): 0.527

=====

Record 8
Computed, not measured: a relaxed structure of Tb5Tm12Th2 at the PBE level of DFT.

The structure in CIF format:
```
data_Tb5Tm12Th2
_chemical_formula_sum 'Tb5 Tm12 Th2'
_symmetry_space_group_name_H-M 'P 1'
_symmetry_Int_Tables_number 1
_cell_length_a 6.0247
_cell_length_b 9.5260
_cell_length_c 11.9584
_cell_angle_alpha 118.36
_cell_angle_beta 96.52
_cell_angle_gamma 91.27
loop_
_symmetry_equiv_pos_as_xyz
'x,y,z'
loop_
_atom_site_label
_atom_site_fract_x
_atom_site_fract_y
_atom_site_fract_z
_atom_site_occupancy
Tb1 0.4904 0.6171 0.6688 1
Tb2 0.1053 0.7017 0.1575 1
Tb3 0.0000 0.0000 0.5000 1
Tb4 0.8947 0.2983 0.8425 1
Tb5 0.5096 0.3829 0.3312 1
Tm1 0.8257 0.0454 0.2257 1
Tm2 0.0358 0.6570 0.8444 1
Tm3 0.5693 0.6724 0.9848 1
Tm4 0.0778 0.6439 0.4559 1
Tm5 0.6202 0.6970 0.2856 1
Tm6 0.5768 0.9176 0.6015 1
Tm7 0.4232 0.0824 0.3985 1
Tm8 0.9222 0.3561 0.5441 1
Tm9 0.3798 0.3030 0.7144 1
Tm10 0.9642 0.3430 0.1556 1
Tm11 0.4307 0.3276 0.0152 1
Tm12 0.1743 0.9546 0.7743 1
Th1 0.7238 0.9865 0.9194 1
Th2 0.2762 0.0135 0.0806 1
```

Spin magnetization (μB per formula unit): 0.00
Offset from the most stable computed form (kJ/mol of formula units): 0
Calculated volume (A^3/atom): 31.5
Space group: P-1 (2)
Density (g cm⁻³): 9.13
E_form (eV/atom): 0.124